# LiCaTmBr6 | Alexandria via LeMat-Bulk | PBE-GGA | relaxed
data_LiCaTmBr6
_cell_length_a 7.145
_cell_length_b 7.145
_cell_length_c 12.716
_cell_angle_alpha 90.00
_cell_angle_beta 90.00
_cell_angle_gamma 120.00
_symmetry_space_group_name_H-M 'P 1'
_symmetry_Int_Tables_number 1
loop_
_symmetry_equiv_pos_as_xyz
'x,y,z'
loop_
_atom_site_label
_atom_site_type_symbol
_atom_site_fract_x
_atom_site_fract_y
_atom_site_fract_z
Li1 Li 0.000 0.000 0.000
Li2 Li 0.000 0.000 0.500
Ca1 Ca 0.333 0.667 0.250
Ca2 Ca 0.667 0.333 0.750
Tm1 Tm 0.667 0.333 0.250
Tm2 Tm 0.333 0.667 0.750
Br1 Br 0.668 0.654 0.125
Br2 Br 0.985 0.332 0.125
Br3 Br 0.332 0.985 0.625
Br4 Br 0.015 0.668 0.875
Br5 Br 0.346 0.332 0.375
Br6 Br 0.985 0.654 0.375
Br7 Br 0.654 0.985 0.875
Br8 Br 0.668 0.015 0.375
Br9 Br 0.015 0.346 0.625
Br10 Br 0.346 0.015 0.125
Br11 Br 0.654 0.668 0.625
Br12 Br 0.332 0.346 0.875
# Final energy ... -3.8668 eV per atom
# Fermi-level density of states ... 0.00 states/eV/cell

# Li2CaUBr8 | Alexandria via LeMat-Bulk | PBE-GGA | relaxed
data_Li2CaUBr8
_cell_length_a 7.039
_cell_length_b 7.243
_cell_length_c 8.682
_cell_angle_alpha 73.62
_cell_angle_beta 90.26
_cell_angle_gamma 102.71
_symmetry_space_group_name_H-M 'P 1'
_symmetry_Int_Tables_number 1
loop_
_symmetry_equiv_pos_as_xyz
'x,y,z'
loop_
_atom_site_label
_atom_site_type_symbol
_atom_site_fract_x
_atom_site_fract_y
_atom_site_fract_z
Li1 Li 0.547 0.358 0.671
Li2 Li 0.453 0.642 0.329
Ca1 Ca 0.000 0.000 0.500
U1 U 0.000 0.000 0.000
Br1 Br 0.122 0.771 0.295
Br2 Br 0.638 0.747 0.052
Br3 Br 0.880 0.215 0.186
Br4 Br 0.878 0.229 0.705
Br5 Br 0.362 0.253 0.948
Br6 Br 0.120 0.785 0.814
Br7 Br 0.625 0.732 0.561
Br8 Br 0.375 0.268 0.439
# Final energy ... -4.0853 eV per atom
# Fermi-level density of states ... 4.30 states/eV/cell

# LiCaYBr6 | Alexandria via LeMat-Bulk | PBE-GGA | relaxed
data_LiCaYBr6
_cell_length_a 7.051
_cell_length_b 7.051
_cell_length_c 12.955
_cell_angle_alpha 90.00
_cell_angle_beta 90.00
_cell_angle_gamma 120.00
_symmetry_space_group_name_H-M 'P 1'
_symmetry_Int_Tables_number 1
loop_
_symmetry_equiv_pos_as_xyz
'x,y,z'
loop_
_atom_site_label
_atom_site_type_symbol
_atom_site_fract_x
_atom_site_fract_y
_atom_site_fract_z
Li1 Li 0.333 0.667 0.250
Li2 Li 0.667 0.333 0.750
Ca1 Ca 0.000 0.000 0.000
Ca2 Ca 0.000 0.000 0.500
Y1 Y 0.667 0.333 0.250
Y2 Y 0.333 0.667 0.750
Br1 Br 0.652 0.657 0.128
Br2 Br 0.004 0.348 0.128
Br3 Br 0.348 0.004 0.628
Br4 Br 0.996 0.652 0.872
Br5 Br 0.343 0.348 0.372
Br6 Br 0.004 0.657 0.372
Br7 Br 0.657 0.004 0.872
Br8 Br 0.652 0.996 0.372
Br9 Br 0.996 0.343 0.628
Br10 Br 0.343 0.996 0.128
Br11 Br 0.657 0.652 0.628
Br12 Br 0.348 0.343 0.872
# Final energy ... -4.0972 eV per atom
# Fermi-level density of states ... 0.00 states/eV/cell

no.,formation energy without anion corrections (meV/atom)
1,-1820
2,-1544
3,-1829